Entry from Alexandria: Ni3PN at its PBEsol-relaxed geometry (SCAN).

POSCAR file:
```
Ni3PN
1.0
3.726 0.000 0.000
0.000 3.726 0.000
0.000 0.000 3.726
Ni N P
3 1 1
direct
0.000 0.500 0.000 Ni
0.000 0.000 0.500 Ni
0.500 0.000 0.000 Ni
0.000 0.000 0.000 N
0.500 0.500 0.500 P
```

volume: 10.3 Å³ per atom
magnetization: 0.00 μB per atom
crystal system: cubic
symmetry: Pm-3m
ΔE_f (raw): 0.07 eV/atom

---

Entry from Alexandria: MgPCl at its PBEsol-relaxed geometry (SCAN).

POSCAR file:
```
MgPCl
1.0
-2.472 -1.678 -0.175
1.487 -2.314 1.177
-1.317 4.010 5.743
P Mg Cl
1 1 1
direct
0.297 0.297 0.593 P
0.655 0.655 0.310 Mg
0.048 0.048 0.097 Cl
```

volume: 20.3 Å³ per atom
magnetization: 0.00 μB per atom
crystal system: tetragonal
symmetry: I4mm
ΔE_f (raw): -0.53 eV/atom

---

Entry from Alexandria: Li10Mn3Cr2Ni3O16 at its PBEsol-relaxed geometry (SCAN).

POSCAR file:
```
Li10Mn3Cr2Ni3O16
1.0
5.862 0.000 0.000
-2.931 5.018 0.006
0.000 -0.106 9.575
Li Mn Cr Ni O
10 3 2 3 16
direct
0.615 0.803 0.056 Li
0.188 0.803 0.056 Li
0.328 0.656 0.269 Li
0.193 0.386 0.045 Li
0.992 0.984 0.977 Li
0.808 0.615 0.550 Li
0.664 0.328 0.767 Li
0.811 0.206 0.539 Li
0.997 0.995 0.475 Li
0.395 0.206 0.539 Li
0.656 0.825 0.781 Mn
0.169 0.825 0.781 Mn
0.821 0.643 0.281 Mn
0.657 0.314 0.025 Cr
0.330 0.661 0.522 Cr
0.165 0.330 0.779 Ni
0.827 0.157 0.279 Ni
0.331 0.157 0.279 Ni
0.658 0.813 0.403 O
0.494 0.988 0.647 O
0.982 0.964 0.171 O
0.338 0.675 0.894 O
0.986 0.972 0.675 O
0.494 0.520 0.655 O
0.155 0.813 0.403 O
0.025 0.520 0.655 O
0.820 0.640 0.905 O
0.971 0.480 0.151 O
0.165 0.331 0.411 O
0.509 0.480 0.151 O
0.671 0.341 0.397 O
0.820 0.146 0.903 O
0.504 0.007 0.154 O
0.326 0.146 0.903 O
```

volume: 8.3 Å³ per atom
magnetization: 0.68 μB per atom
crystal system: monoclinic
symmetry: Cm
ΔE_f (raw): -2.05 eV/atom

---

Entry from Alexandria: CrCdW3 at its PBEsol-relaxed geometry (SCAN).

POSCAR file:
```
CrCdW3
1.0
4.772 0.000 0.000
0.000 4.772 0.000
0.000 0.000 4.772
Cr W Cd
1 3 1
direct
0.500 0.500 0.500 Cr
0.000 0.500 0.000 W
0.000 0.000 0.500 W
0.500 0.000 0.000 W
0.000 0.000 0.000 Cd
```

volume: 21.7 Å³ per atom
magnetization: 0.80 μB per atom
crystal system: cubic
symmetry: Pm-3m
ΔH_f (0 K): 75.9 kcal/mol of atoms

---

Entry from Alexandria: AgMoCl3 at its PBEsol-relaxed geometry (SCAN).

POSCAR file:
```
AgMoCl3
1.0
-1.039 -4.646 0.637
3.164 -1.176 -3.417
3.461 -0.320 3.315
Mo Ag Cl
1 1 3
direct
0.000 0.000 0.000 Mo
0.500 0.500 0.500 Ag
0.000 0.500 0.000 Cl
0.000 0.000 0.500 Cl
0.500 0.000 0.000 Cl
```

volume: 22.2 Å³ per atom
magnetization: 0.57 μB per atom
crystal system: cubic
symmetry: Pm-3m
ΔE_f (raw): -0.26 eV/atom

---

Entry from Alexandria: LiTeCl2 at its PBEsol-relaxed geometry (SCAN).

POSCAR file:
```
LiTeCl2
1.0
-2.613 0.088 -2.034
-0.289 -4.893 0.159
-3.820 0.386 4.923
Cl Te Li
2 1 1
direct
0.000 0.876 0.000 Cl
0.500 0.874 0.500 Cl
0.500 0.374 0.500 Te
0.000 0.376 0.000 Li
```

volume: 25.4 Å³ per atom
magnetization: 0.03 μB per atom
crystal system: orthorhombic
symmetry: Pmm2
ΔE_f (raw): -0.70 eV/atom
energy above the most stable polymorph in this dataset: 38.2 meV/atom